4
Lattice="-3.755 1.533 4.103 -3.874 4.147 -1.039 -5.584 -1.342 -0.553" Properties=species:S:1:pos:R:3 comment="Sr2AlBr (GGA-PBE, optimized geometry)" formation_energy_uncorrected_mev_per_atom=-524 polymorph_energy_mev_per_atom=276 m_tot_mub_per_fu=2.0 e_tot_ev_per_cell=-10.88 pbc="T T T"
Sr -3.303 1.085 0.628
Sr -9.910 3.254 1.883
Br -6.607 2.170 1.255
Al 0.000 0.000 0.000

4
Lattice="-1.856 3.094 1.736 -3.988 0.303 -0.187 -2.349 -1.482 4.756" Properties=species:S:1:pos:R:3 comment="YZnFe2 (GGA-PBE, optimized geometry)" m_tot_mub_per_fu=2.7 e_tot_ev_per_cell=-24.93 e_form_mev_per_atom=-66 pbc="T T T"
Fe -1.981 0.915 0.869
Zn -6.194 1.116 5.248
Y -4.086 1.023 3.047
Fe -5.873 3.216 1.843

11
Lattice="5.711 0.021 -0.983 -1.913 6.662 -2.854 -0.106 -0.164 7.493" Properties=species:S:1:pos:R:3 comment="Er8Ru2Rh (GGA-PBE, optimized geometry)" polymorph_energy_mev_per_atom=44 m_tot_mub_per_fu=0.0 e_tot_ev_per_cell=-66.13 e_form_mev_per_atom=-338 pbc="T T T"
Er 0.293 2.372 1.514
Rh 0.611 0.007 -0.102
Er 0.849 4.297 4.647
Ru 1.449 4.601 -0.105
Er 2.669 2.271 -0.933
Er 0.382 6.062 1.971
Er 4.123 5.228 -1.616
Er 3.289 4.179 2.182
Ru 2.137 2.002 3.835
Er 5.159 1.317 4.313
Er 3.137 0.503 1.748

4
Lattice="4.880 -0.078 0.000 1.213 4.727 0.000 -3.046 -2.325 3.022" Properties=species:S:1:pos:R:3 comment="CrCd2W (GGA-PBE, optimized geometry)" polymorph_energy_mev_per_atom=354 m_tot_mub_per_fu=1.9 e_tot_ev_per_cell=-21.51 e_form_mev_per_atom=724 pbc="T T T"
Cd 0.000 0.000 0.000
Cd 0.606 2.364 1.511
Cr 3.046 2.325 0.000
W 2.440 -0.039 1.511

7
Lattice="-0.525 -0.061 4.124 3.826 -0.220 -1.612 1.024 15.182 0.354" Properties=species:S:1:pos:R:3 comment="Er2PaSe4 (GGA-PBE, optimized geometry)" formation_energy_uncorrected_mev_per_atom=-1324 m_tot_mub_per_fu=2.8 e_tot_ev_per_cell=-41.83 pbc="T T T"
Se 0.014 0.210 0.005
Er 1.311 5.598 2.345
Se 0.488 7.243 0.169
Se 2.657 4.005 0.397
Er 2.472 1.266 0.333
Se 3.160 11.459 0.571
Pa 0.682 10.109 0.236

5
Lattice="-1.829 2.108 4.531 2.708 -3.575 2.756 4.181 3.288 0.157" Properties=species:S:1:pos:R:3 comment="BaY2BeGe (GGA-PBE, optimized geometry)" m_tot_mub_per_fu=0.0 e_tot_ev_per_cell=-21.80 e_form_mev_per_atom=279 pbc="T T T"
Y -0.914 1.054 2.266
Ge 2.530 0.911 3.723
Ba 1.354 -1.788 1.378
Be 0.000 0.000 0.000
Y 2.091 1.644 0.079

no.,DOS(E_F) (states/eV/cell)
1,3.01
2,2.40
3,8.59
4,3.12
5,6.37
6,4.37